The following is a PBE-GGA calculation of a relaxed structure of Pr6Sm5Y2, from Alexandria via LeMat-Bulk.

Output
Formation enthalpy at 0 K   0.092 eV per atom
Symmetry   No. 55

abc: 3.668 11.889 20.997
angles: 90.00 90.00 90.00
Sites, in units of the cell vectors:
1 Y 0.000 0.333 0.289
2 Pr 0.000 0.939 0.919
3 Pr 0.500 0.825 0.364
4 Sm 0.500 0.500 0.000
5 Sm 0.500 0.698 0.555
6 Pr 0.000 0.917 0.632
7 Pr 0.000 0.083 0.368
8 Sm 0.500 0.091 0.226
9 Pr 0.500 0.325 0.136
10 Pr 0.500 0.675 0.864
11 Y 0.000 0.667 0.711
12 Pr 0.000 0.439 0.581
13 Pr 0.000 0.583 0.132
14 Sm 0.500 0.909 0.774
15 Sm 0.500 0.302 0.445
16 Sm 0.500 0.409 0.726
17 Sm 0.500 0.802 0.055
18 Pr 0.500 0.175 0.636
19 Sm 0.500 0.591 0.274
20 Pr 0.000 0.061 0.081
21 Y 0.000 0.167 0.789
22 Sm 0.500 0.000 0.500
23 Pr 0.000 0.417 0.868
24 Y 0.000 0.833 0.211
25 Pr 0.000 0.561 0.419
26 Sm 0.500 0.198 0.945

The following is a PBE-GGA calculation of a relaxed structure of Pr8Sm6Y, from Alexandria via LeMat-Bulk.

Output
Formation enthalpy at 0 K   0.161 eV per atom
Symmetry   No. 147
Excess energy over the best structure of this formula in the dataset   0.9 kJ per mole of atoms

abc: 6.729 9.573 9.573
angles: 120.00 90.00 90.00
Sites, in units of the cell vectors:
1 Y 0.500 0.000 0.000
2 Pr 0.114 0.667 0.333
3 Sm 0.655 0.432 0.344
4 Pr 0.163 0.286 0.255
5 Sm 0.345 0.568 0.656
6 Pr 0.886 0.333 0.667
7 Pr 0.837 0.255 0.969
8 Pr 0.837 0.714 0.745
9 Sm 0.345 0.344 0.912
10 Pr 0.163 0.745 0.031
11 Pr 0.837 0.031 0.286
12 Sm 0.345 0.088 0.432
13 Pr 0.163 0.969 0.714
14 Sm 0.655 0.656 0.088
15 Sm 0.655 0.912 0.568